No. 1
TlGePbC2 | Alexandria | PBE | relaxed; SG = P4/mmm; energy = -3.4113 eV/atom
1.0
4.526 0.000 0.000
0.000 4.526 0.000
0.000 0.000 5.708
Tl Ge Pb C
1 1 1 2
Direct
0.000 0.000 0.000
0.000 0.000 0.500
0.500 0.500 0.500
0.000 0.500 0.000
0.500 0.000 0.000

---

No. 2
Tm5GePb2C | Alexandria | PBE | relaxed; SG = P4/mmm; energy = -5.3334 eV/atom
1.0
4.633 0.000 0.000
0.000 4.633 0.000
0.000 0.000 10.896
Tm Ge Pb C
5 1 2 1
Direct
0.000 0.000 0.000
0.000 0.500 0.500
0.500 0.000 0.500
0.500 0.500 0.262
0.500 0.500 0.738
0.500 0.500 0.000
0.000 0.000 0.292
0.000 0.000 0.708
0.500 0.500 0.500

---

No. 3
Y4GePbC | Alexandria | PBE | relaxed; SG = Cmcm; energy = -6.8105 eV/atom
1.0
3.370 -7.846 0.000
3.370 7.846 0.000
0.000 0.000 6.745
Y Ge Pb C
8 2 2 2
Direct
0.000 0.500 0.000
0.000 0.500 0.500
0.083 0.917 0.750
0.409 0.591 0.750
0.500 0.000 0.000
0.500 0.000 0.500
0.591 0.409 0.250
0.917 0.083 0.250
0.114 0.886 0.250
0.886 0.114 0.750
0.394 0.606 0.250
0.606 0.394 0.750
0.248 0.752 0.750
0.752 0.248 0.250

---

No. 4
Ge2PdC2 | Alexandria | PBE | relaxed; SG = I4/mmm; energy above the most stable polymorph in this dataset = 0.000 eV per atom
1.0
5.250 0.000 0.000
0.000 5.250 0.000
0.000 0.000 5.336
Ge Pd C
4 2 4
Direct
0.000 0.500 0.250
0.000 0.500 0.750
0.500 0.000 0.250
0.500 0.000 0.750
0.000 0.000 0.000
0.500 0.500 0.500
0.000 0.000 0.380
0.000 0.000 0.620
0.500 0.500 0.120
0.500 0.500 0.880

---

No. 5
Ge3PdC | Alexandria | PBE | relaxed; SG = Pm-3m; energy above the most stable polymorph in this dataset = 0.000 eV per atom
1.0
4.306 0.000 0.000
0.000 4.306 0.000
0.000 0.000 4.306
Ge Pd C
3 1 1
Direct
0.000 0.000 0.500
0.000 0.500 0.000
0.500 0.000 0.000
0.500 0.500 0.500
0.000 0.000 0.000

---

No. 6
GePdC3 | Alexandria | PBE | relaxed; SG = Pm-3m; energy above the most stable polymorph in this dataset = 0.000 eV per atom
1.0
3.936 0.000 0.000
0.000 3.936 0.000
0.000 0.000 3.936
Ge Pd C
1 1 3
Direct
0.000 0.000 0.000
0.500 0.500 0.500
0.000 0.000 0.500
0.000 0.500 0.000
0.500 0.000 0.000

---

No. 7
GePdC3 | Alexandria | PBE | relaxed; SG = Pm-3m; energy above the most stable polymorph in this dataset = 0.083 eV per atom
1.0
4.065 0.000 0.000
0.000 4.065 0.000
0.000 0.000 4.065
Ge Pd C
1 1 3
Direct
0.000 0.000 0.000
0.500 0.500 0.500
0.000 0.500 0.500
0.500 0.000 0.500
0.500 0.500 0.000

---

No. 8
Ge2PdC2 | Alexandria | PBE | relaxed; SG = P4/mbm; energy above the most stable polymorph in this dataset = 0.364 eV per atom
1.0
6.527 0.000 0.000
0.000 6.527 0.000
0.000 0.000 3.257
Ge Pd C
4 2 4
Direct
0.133 0.367 0.000
0.367 0.867 0.000
0.633 0.133 0.000
0.867 0.633 0.000
0.000 0.000 0.500
0.500 0.500 0.500
0.237 0.263 0.500
0.263 0.763 0.500
0.737 0.237 0.500
0.763 0.737 0.500

---

- Which formula does entry 3 have?
  Y4GePbC